{"formula": "Cd2PtRh", "functional": "GGA-PBE", "state": "relaxed", "lattice": [[-1.463, -2.125, -1.300], [3.552, -1.838, -0.992], [-0.138, -2.969, 5.006]], "species": ["Cd", "Cd", "Pt", "Rh"], "frac_coords": [[0.000, 0.000, 0.979], [0.500, 0.500, 0.268], [0.000, 0.000, 0.500], [0.500, 0.500, 0.754]], "e_form_ev_per_atom": -0.09, "dos_ef_per_ev_cell": 2.77, "m_tot_mub_per_atom": 0.000}

=====

{"formula": "CdPt4Rh2", "functional": "GGA-PBE", "state": "relaxed", "lattice": [[-1.655, -3.096, 1.439], [8.671, -1.066, 7.684], [-5.351, 6.058, 6.879]], "species": ["Cd", "Cd", "Cd", "Cd", "Pt", "Pt", "Pt", "Pt", "Pt", "Pt", "Pt", "Pt", "Pt", "Pt", "Pt", "Pt", "Pt", "Pt", "Pt", "Pt", "Rh", "Rh", "Rh", "Rh", "Rh", "Rh", "Rh", "Rh"], "frac_coords": [[0.750, 0.335, 0.340], [0.250, 0.665, 0.660], [0.750, 0.835, 0.160], [0.250, 0.165, 0.840], [0.250, 0.002, 0.190], [0.750, 0.998, 0.810], [0.250, 0.502, 0.310], [0.750, 0.498, 0.690], [0.250, 0.896, 0.677], [0.750, 0.104, 0.323], [0.250, 0.396, 0.823], [0.750, 0.604, 0.177], [0.250, 0.688, 0.009], [0.750, 0.312, 0.991], [0.250, 0.188, 0.491], [0.750, 0.812, 0.509], [0.750, 0.768, 0.847], [0.250, 0.232, 0.153], [0.250, 0.732, 0.347], [0.750, 0.268, 0.653], [0.250, 0.457, 0.075], [0.750, 0.043, 0.575], [0.250, 0.957, 0.425], [0.750, 0.543, 0.925], [0.750, 0.583, 0.462], [0.250, 0.417, 0.538], [0.750, 0.083, 0.038], [0.250, 0.917, 0.962]], "e_form_ev_per_atom": 0.06, "dos_ef_per_ev_cell": 37.41, "m_tot_mub_per_atom": 0.045}

=====

{"formula": "CdPtRh2", "functional": "GGA-PBE", "state": "relaxed", "lattice": [[1.410, 4.643, 0.001], [-1.410, 4.643, 0.001], [0.000, 0.849, 4.826]], "species": ["Cd", "Pt", "Rh", "Rh"], "frac_coords": [[0.499, 0.499, 0.497], [0.255, 0.255, 0.242], [0.002, 0.002, 0.990], [0.744, 0.744, 0.771]], "e_form_ev_per_atom": -0.05, "dos_ef_per_ev_cell": 4.48, "m_tot_mub_per_atom": 0.000}